[1]
{
  "formula": "SiMo2",
  "functional": "GGA-PBEsol",
  "state": "relaxed",
  "lattice_angstrom": [[3.132, 0.000, 0.000], [-1.566, 5.164, -0.003], [0.000, -1.400, 5.322]],
  "species": ["Mo", "Mo", "Mo", "Mo", "Si", "Si"],
  "frac_coords": [[0.513, 0.025, 0.244], [0.827, 0.655, 0.396], [0.173, 0.345, 0.604], [0.487, 0.975, 0.756], [0.832, 0.664, 0.926], [0.168, 0.336, 0.074]],
  "total_energy_ev_per_cell": -59.56,
  "formation_energy_uncorrected_kj_per_mol_atoms": -16.0,
  "de_polymorph_ev_per_fu": 0.567
}

[2]
{
  "formula": "Sr2Y2Rh",
  "functional": "GGA-PBEsol",
  "state": "relaxed",
  "lattice_angstrom": [[-1.669, 2.374, 2.879], [1.021, -2.743, 2.854], [9.083, 4.782, -1.580]],
  "species": ["Sr", "Sr", "Y", "Y", "Rh"],
  "frac_coords": [[0.582, 0.582, 0.165], [0.418, 0.418, 0.835], [0.250, 0.750, 0.500], [0.750, 0.250, 0.500], [0.000, 0.000, 0.000]],
  "total_energy_ev_per_cell": -22.72,
  "e_form_ev_per_atom": 0.55
}

[3]
{
  "formula": "TaSbAu",
  "functional": "GGA-PBEsol",
  "state": "relaxed",
  "lattice_angstrom": [[-0.879, -1.923, -2.134], [0.088, -2.249, 1.990], [-6.110, 3.263, 1.690]],
  "species": ["Sb", "Au", "Ta"],
  "frac_coords": [[0.683, 0.683, 0.367], [0.975, 0.975, 0.950], [0.342, 0.342, 0.683]],
  "total_energy_ev_per_cell": -20.56,
  "formation_energy_uncorrected_kj_per_mol_atoms": 15.2,
  "de_polymorph_ev_per_fu": 0.025
}

[4]
{
  "formula": "MnBeSi",
  "functional": "GGA-PBEsol",
  "state": "relaxed",
  "lattice_angstrom": [[-0.098, -1.587, -2.343], [1.523, -2.005, 1.295], [-3.856, 0.195, 1.741]],
  "species": ["Be", "Mn", "Si"],
  "frac_coords": [[0.007, 0.007, 0.014], [0.661, 0.661, 0.322], [0.332, 0.332, 0.663]],
  "total_energy_ev_per_cell": -20.34,
  "formation_energy_uncorrected_kj_per_mol_atoms": -26.9
}

[5]
{
  "formula": "TlCd2Au",
  "functional": "GGA-PBEsol",
  "state": "relaxed",
  "lattice_angstrom": [[-0.745, 2.768, -0.792], [0.688, -0.889, -3.754], [-7.115, -2.142, -0.798]],
  "species": ["Tl", "Au", "Cd", "Cd"],
  "frac_coords": [[0.000, 0.000, 0.520], [0.500, 0.500, 0.779], [0.000, 0.000, 0.979], [0.500, 0.500, 0.222]],
  "total_energy_ev_per_cell": -8.94,
  "e_form_ev_per_atom": 0.00,
  "de_polymorph_ev_per_fu": 0.162
}

[6]
{
  "formula": "FeIr2Se",
  "functional": "GGA-PBEsol",
  "state": "relaxed",
  "lattice_angstrom": [[2.781, 0.000, 0.000], [0.000, 3.551, 0.000], [0.000, 0.000, 5.686]],
  "species": ["Ir", "Ir", "Fe", "Se"],
  "frac_coords": [[0.500, 0.500, 0.236], [0.000, 0.000, 0.979], [0.500, 0.500, 0.758], [0.000, 0.000, 0.527]],
  "total_energy_ev_per_cell": -31.08,
  "formation_energy_uncorrected_kj_per_mol_atoms": 33.4
}

[7]
{
  "formula": "Na2ZnS2",
  "functional": "GGA-PBEsol",
  "state": "relaxed",
  "lattice_angstrom": [[6.827, 0.000, -0.048], [0.000, 6.993, 0.000], [-0.550, 0.000, 8.709]],
  "species": ["Zn", "Zn", "Zn", "Zn", "S", "S", "S", "S", "S", "S", "S", "S", "Na", "Na", "Na", "Na", "Na", "Na", "Na", "Na"],
  "frac_coords": [[0.843, 0.594, 0.373], [0.343, 0.906, 0.373], [0.657, 0.094, 0.627], [0.157, 0.406, 0.627], [0.309, 0.113, 0.590], [0.246, 0.044, 0.145], [0.191, 0.613, 0.410], [0.809, 0.387, 0.590], [0.691, 0.887, 0.410], [0.746, 0.456, 0.145], [0.754, 0.956, 0.855], [0.254, 0.544, 0.855], [0.013, 0.734, 0.055], [0.051, 0.830, 0.679], [0.513, 0.766, 0.055], [0.551, 0.670, 0.679], [0.487, 0.234, 0.945], [0.449, 0.330, 0.321], [0.949, 0.170, 0.321], [0.987, 0.266, 0.945]],
  "total_energy_ev_per_cell": -72.35,
  "formation_energy_uncorrected_kj_per_mol_atoms": -95.3
}

[8]
{
  "formula": "InSiTe3",
  "functional": "GGA-PBEsol",
  "state": "relaxed",
  "lattice_angstrom": [[-2.994, 0.381, -6.353], [6.367, -2.901, 0.719], [-2.992, -6.313, 1.032]],
  "species": ["Te", "Te", "Te", "Te", "Te", "Te", "In", "In", "Si", "Si"],
  "frac_coords": [[0.341, 0.000, 0.230], [0.659, 0.000, 0.770], [0.659, 0.659, 0.230], [0.000, 0.659, 0.770], [0.341, 0.341, 0.770], [0.000, 0.341, 0.230], [0.333, 0.667, 0.500], [0.667, 0.333, 0.500], [0.000, 0.000, 0.336], [0.000, 0.000, 0.664]],
  "total_energy_ev_per_cell": -40.49,
  "formation_energy_uncorrected_kj_per_mol_atoms": -18.1
}

[9]
{
  "formula": "Ce2Ti2O7",
  "functional": "GGA-PBEsol",
  "state": "relaxed",
  "lattice_angstrom": [[7.245, 0.000, 0.000], [3.623, 6.275, 0.000], [3.623, 2.092, 5.916]],
  "species": ["O", "O", "O", "O", "O", "O", "O", "O", "O", "O", "O", "O", "O", "O", "Ti", "Ti", "Ti", "Ti", "Ce", "Ce", "Ce", "Ce"],
  "frac_coords": [[0.796, 0.204, 0.204], [0.796, 0.796, 0.204], [0.454, 0.454, 0.046], [0.046, 0.454, 0.046], [0.500, 0.500, 0.500], [0.204, 0.204, 0.796], [0.046, 0.046, 0.454], [0.046, 0.454, 0.454], [0.454, 0.046, 0.046], [0.454, 0.046, 0.454], [0.750, 0.750, 0.750], [0.204, 0.796, 0.796], [0.204, 0.796, 0.204], [0.796, 0.204, 0.796], [0.125, 0.625, 0.125], [0.625, 0.125, 0.125], [0.125, 0.125, 0.125], [0.125, 0.125, 0.625], [0.125, 0.625, 0.625], [0.625, 0.625, 0.125], [0.625, 0.625, 0.625], [0.625, 0.125, 0.625]],
  "total_energy_ev_per_cell": -204.56,
  "formation_energy_uncorrected_kj_per_mol_atoms": -313.1
}

[10]
{
  "formula": "TcTePI2",
  "functional": "GGA-PBEsol",
  "state": "relaxed",
  "lattice_angstrom": [[-3.118, 3.922, 1.787], [-3.856, -3.524, 1.006], [1.897, -0.695, 4.835]],
  "species": ["I", "I", "Te", "P", "Tc"],
  "frac_coords": [[0.000, 0.500, 0.000], [0.500, 0.000, 0.000], [0.000, 0.000, 0.500], [0.000, 0.000, 0.000], [0.500, 0.500, 0.500]],
  "total_energy_ev_per_cell": -18.26,
  "formation_energy_uncorrected_kj_per_mol_atoms": 113.0,
  "de_polymorph_ev_per_fu": 1.241
}

[11]
{
  "formula": "TmGaAg",
  "functional": "GGA-PBEsol",
  "state": "relaxed",
  "lattice_angstrom": [[-3.135, -1.605, -2.699], [-2.784, -4.334, 2.163], [-5.144, 2.082, 1.089]],
  "species": ["Tm", "Tm", "Ag", "Ag", "Ga", "Ga"],
  "frac_coords": [[0.465, 0.779, 0.291], [0.535, 0.221, 0.709], [0.173, 0.375, 0.280], [0.827, 0.625, 0.720], [0.159, 0.799, 0.882], [0.841, 0.201, 0.118]],
  "total_energy_ev_per_cell": -26.21,
  "e_form_ev_per_atom": -0.52
}

[12]
{
  "formula": "TcIr3",
  "functional": "GGA-PBEsol",
  "state": "relaxed",
  "lattice_angstrom": [[-3.614, 1.247, 0.000], [-0.077, -0.222, -3.816], [-1.245, -3.607, 0.235]],
  "species": ["Ir", "Ir", "Ir", "Tc"],
  "frac_coords": [[0.000, 0.500, 0.000], [0.500, 0.000, 0.000], [0.000, 0.000, 0.500], [0.500, 0.500, 0.500]],
  "total_energy_ev_per_cell": -41.29,
  "e_form_ev_per_atom": -0.14
}